First-principles (PBE) data for a relaxed AcPm3Pd8 crystal, as listed in Alexandria.

abc: 5.566 5.566 9.069
angles: 90.00 90.00 120.00
Element x y z (fractional)
Ac  0.000  0.000  0.000
Pm  0.000  0.000  0.377
Pm  0.667  0.333  0.493
Pm  0.667  0.333  0.860
Pd  0.166  0.331  0.681
Pd  0.166  0.834  0.681
Pd  0.333  0.667  0.434
Pd  0.333  0.667  0.933
Pd  0.502  0.004  0.188
Pd  0.502  0.498  0.188
Pd  0.669  0.834  0.681
Pd  0.996  0.498  0.188

Values from the calculation:
density of states at the Fermi level = 5.86 states/eV per cell
magnetization = 0.000 μB per atom
space group = P3m1 (156)

First-principles (PBE) data for a relaxed Ac2Pm3Pd2 crystal, as listed in Alexandria.

abc: 6.673 6.673 9.511
angles: 113.41 113.41 34.71
Element x y z (fractional)
Ac  0.158  0.158  0.302
Ac  0.842  0.842  0.698
Pm  0.382  0.382  0.066
Pm  0.500  0.500  0.500
Pm  0.618  0.618  0.934
Pd  0.158  0.158  0.731
Pd  0.842  0.842  0.269

Values from the calculation:
density of states at the Fermi level = 8.21 states/eV per cell
magnetization = 0.000 μB per atom
space group = C2/m (12)

First-principles (PBE) data for a relaxed Ac2Pm2Pd15 crystal, as listed in Alexandria.

abc: 7.230 7.230 7.230
angles: 81.02 81.02 81.02
Element x y z (fractional)
Ac  0.141  0.141  0.141
Ac  0.859  0.859  0.859
Pm  0.392  0.392  0.392
Pm  0.608  0.608  0.608
Pd  0.000  0.500  0.500
Pd  0.151  0.151  0.659
Pd  0.151  0.659  0.151
Pd  0.196  0.500  0.804
Pd  0.196  0.804  0.500
Pd  0.341  0.849  0.849
Pd  0.500  0.000  0.500
Pd  0.500  0.196  0.804
Pd  0.500  0.500  0.000
Pd  0.500  0.804  0.196
Pd  0.659  0.151  0.151
Pd  0.804  0.196  0.500
Pd  0.804  0.500  0.196
Pd  0.849  0.341  0.849
Pd  0.849  0.849  0.341

Values from the calculation:
density of states at the Fermi level = 13.42 states/eV per cell
magnetization = 0.000 μB per atom
space group = R-3m (166)

no.,energy relative to the elements (meV/atom)
1,-738
2,-468
3,-585